First-principles (GGA-PBE) data for a relaxed YErTlHg crystal, as listed in Alexandria via LeMat-Bulk.

```
data_YErTlHg
_space_group_name_H-M_alt 'P 4 m m'
_space_group_IT_number 99
_cell_length_a 3.753
_cell_length_b 3.753
_cell_length_c 7.482
_cell_angle_alpha 90.00
_cell_angle_beta 90.00
_cell_angle_gamma 90.00
loop_
_space_group_symop_operation_xyz
'x,y,z'
'-y,x,z'
'-x,-y,z'
'y,-x,z'
'-x,y,z'
'y,x,z'
'x,-y,z'
'-y,-x,z'
loop_
_atom_site_label
_atom_site_type_symbol
_atom_site_fract_x
_atom_site_fract_y
_atom_site_fract_z
Y1 Y 0.000 0.000 0.000
Er1 Er 0.000 0.000 0.483
Tl1 Tl 0.500 0.500 0.739
Hg1 Hg 0.500 0.500 0.248
```

## Properties
ΔH_f (0 K) (kJ per mole of atoms): -40.7
VASP energy (eV per atom): -3.846